Density functional theory data (PBE-GGA) for HfTiRu after structural relaxation.

a = 3.1789 Å, b = 3.1789 Å, c = 10.0744 Å
α = 90.00°, β = 90.00°, γ = 90.00°
With the nearest neighbours (Å) after each atom.
Space group I4mm (No. 107)
Asymmetric unit:
1 Hf 0.0000 0.0000 0.0000 x2  4 Ru 2.79, 5 Ti 2.95-3.12
2 Ti 0.0000 0.0000 0.3096 x2  4 Ru 2.68, 4 Hf 2.95
3 Ru 0.0000 0.0000 0.6648 x2  4 Ti 2.68, 4 Hf 2.79

Computed properties:
**N(E_F)**: 3.389 states/eV/f.u.
**Energy relative to the elements**: -0.48 eV per atom
**Energy relative to the lowest polymorph listed for this composition**: 19 meV/atom
**Energy**: -9.53 eV/atom

---

Density functional theory data (PBE-GGA) for HfTiRu2 after structural relaxation.

a = 4.1819 Å, b = 4.1819 Å, c = 16.8354 Å
α = 90.00°, β = 90.00°, γ = 90.00°
With the nearest neighbours (Å) after each atom.
Space group I-42d (No. 122)
Asymmetric unit:
1 Hf 0.0000 0.0000 0.0000 x4  4 Ru 2.68, 4 Ti 2.96
2 Ti 0.0000 0.0000 0.5000 x4  4 Ru 2.48
3 Ru 0.1931 0.2500 0.6250 x8  2 Ti 2.48, 2 Ru 2.64, 2 Hf 2.68

Computed properties:
**N(E_F)**: 4.442 states/eV/f.u.
**Energy relative to the elements**: 0.31 eV per atom
**Energy**: -8.79 eV/atom

---

Density functional theory data (PBE-GGA) for Hf3TiRu4 after structural relaxation.

a = 3.2012 Å, b = 4.5418 Å, c = 9.0657 Å
α = 90.00°, β = 90.00°, γ = 90.00°
With the nearest neighbours (Å) after each atom.
Space group Pmmm (No. 47)
Asymmetric unit:
1 Hf 0.0000 0.0000 0.0000 x1  8 Ru 2.78-2.83
2 Hf 0.0000 0.5000 0.2552 x2  8 Ru 2.74-2.81
3 Ti 0.0000 0.0000 0.5000 x1  8 Ru 2.72-2.78
4 Ru 0.5000 0.0000 0.2572 x2  2 Ti 2.72, 6 Hf 2.78-2.83
5 Ru 0.5000 0.5000 0.0000 x1  8 Hf 2.78-2.81
6 Ru 0.5000 0.5000 0.5000 x1  4 Hf 2.74, 4 Ti 2.78

Computed properties:
**N(E_F)**: 1.820 states/eV/f.u.
**Energy relative to the elements**: -0.78 eV per atom
**Energy**: -10.14 eV/atom

---

Density functional theory data (PBE-GGA) for HfTiRu3 after structural relaxation.

a = 4.4774 Å, b = 4.4774 Å, c = 4.4774 Å
α = 90.00°, β = 90.00°, γ = 90.00°
With the nearest neighbours (Å) after each atom.
Space group Pm-3m (No. 221)
Asymmetric unit:
1 Hf 0.0000 0.0000 0.0000 x1  12 Ru 3.17
2 Ti 0.5000 0.5000 0.5000 x1  6 Ru 2.24
3 Ru 0.0000 0.5000 0.5000 x3  2 Ti 2.24

Computed properties:
**N(E_F)**: 3.268 states/eV/f.u.
**Energy relative to the elements**: 0.48 eV per atom
**Energy relative to the lowest polymorph listed for this composition**: 0 meV/atom
**Energy**: -8.65 eV/atom